Entry 1:
Computed, not measured: a geometry-optimized PmZnSb structure at the GGA-PBE level of DFT.

```
PmZnSb
1.0
4.227 0.000 0.000
0.000 4.227 0.000
-2.114 -2.114 4.476
Zn Pm Sb
1 1 1
direct
0.944 0.944 0.888 Zn
0.277 0.277 0.554 Pm
0.629 0.629 0.258 Sb
```

space-group type	I4mm (107)
formation energy from raw total energies	-1.3	eV per formula unit
VASP energy	-3.8149	eV/atom
E above lowest polymorph	0.250	eV/atom
magnetization	0.00	μB per cell

***

Entry 2:
Computed, not measured: a geometry-optimized Sr3LaZnRuO8 structure at the GGA-PBE level of DFT.

```
Sr3LaZnRuO8
1.0
-2.107 5.472 3.681
1.309 -6.564 1.770
5.360 1.354 1.056
O Sr Ru Zn La
8 3 1 1 1
direct
0.245 0.240 0.754 O
0.760 0.755 0.754 O
0.841 0.159 0.000 O
0.162 0.838 0.000 O
0.320 0.680 0.500 O
0.760 0.755 0.246 O
0.668 0.332 0.500 O
0.245 0.240 0.246 O
0.358 0.642 0.000 Sr
0.643 0.357 0.000 Sr
0.856 0.144 0.500 Sr
0.999 0.001 0.000 Ru
0.500 0.500 0.500 Zn
0.143 0.857 0.500 La
```

space-group type	Amm2 (38)
formation energy from raw total energies	-32.1	eV per formula unit
VASP energy	-6.5898	eV/atom
magnetization	3.00	μB per cell

***

Entry 3:
Computed, not measured: a geometry-optimized LiAlCr2Sb structure at the GGA-PBE level of DFT.

```
LiAlCr2Sb
1.0
-2.962 -2.838 2.152
0.954 -3.292 -3.029
3.428 -1.512 2.723
Cr Sb Li Al
2 1 1 1
direct
0.000 0.000 0.500 Cr
0.500 0.000 0.000 Cr
0.000 0.500 0.000 Sb
0.000 0.000 0.000 Li
0.500 0.500 0.500 Al
```

space-group type	P4/mmm (123)
formation energy from raw total energies	4.4	eV per formula unit
VASP energy	-4.9266	eV/atom
magnetization	8.43	μB per cell